(a)
Entry from Alexandria: crystalline BaSmY2 at its relaxed geometry (GGA-PBE).

## Properties
Spin magnetization ... 0.0000 μB per atom

Cell lengths 3.731, 3.731, 10.860 Å; angles 90.00, 90.00, 90.00 degrees
Fractional coordinates of all 4 atoms:
Sm (0.500, 0.500, 0.000)
Y (0.000, 0.000, 0.782)
Y (0.000, 0.000, 0.218)
Ba (0.500, 0.500, 0.500)

(b)
Entry from Alexandria: crystalline BaSmY2 at its relaxed geometry (GGA-PBE).

## Properties
Spin magnetization ... 0.0031 μB per atom

Cell lengths 3.640, 3.640, 13.113 Å; angles 82.02, 82.02, 60.00 degrees
Fractional coordinates of all 4 atoms:
Y (0.093, 0.093, 0.720)
Y (0.907, 0.907, 0.280)
Sm (0.500, 0.500, 0.500)
Ba (0.000, 0.000, 0.000)

Most favorable first, least favorable last: (a), (b)

(a)
Entry from Alexandria: crystalline Ba3Sn at its relaxed geometry (GGA-PBE).

## Properties
Spin magnetization ... 0.0000 μB per atom

Cell lengths 5.609, 5.609, 5.609 Å; angles 90.00, 90.00, 90.00 degrees
Fractional coordinates of all 4 atoms:
Ba (0.500, 0.000, 0.500)
Ba (0.000, 0.500, 0.500)
Ba (0.500, 0.500, 0.000)
Sn (0.000, 0.000, 0.000)

(b)
Entry from Alexandria: crystalline Ba3Sn at its relaxed geometry (GGA-PBE).

## Properties
Spin magnetization ... 0.0000 μB per atom

Cell lengths 5.519, 5.519, 6.893 Å; angles 113.60, 113.60, 90.00 degrees
Fractional coordinates of all 4 atoms:
Ba (0.750, 0.250, 0.500)
Ba (0.250, 0.750, 0.500)
Ba (0.500, 0.500, 0.000)
Sn (0.000, 0.000, 0.000)

(c)
Entry from Alexandria: crystalline Ba3Sn at its relaxed geometry (GGA-PBE).

## Properties
Spin magnetization ... 0.0002 μB per atom

Cell lengths 4.498, 6.224, 8.124 Å; angles 112.52, 106.07, 90.00 degrees
Fractional coordinates of all 4 atoms:
Sn (0.000, 0.917, 0.000)
Ba (0.500, 0.417, 0.000)
Ba (0.689, 0.106, 0.378)
Ba (0.311, 0.727, 0.622)

Most favorable first, least favorable last: (a), (c), (b)

(a)
Entry from Alexandria: crystalline Ba3Sn at its relaxed geometry (GGA-PBE).

## Properties
Spin magnetization ... 0.0240 μB per atom

Cell lengths 7.527, 10.921, 10.921 Å; angles 83.18, 69.84, 69.84 degrees
Fractional coordinates of all 16 atoms:
Ba (0.555, 0.331, 0.603)
Ba (0.114, 0.397, 0.331)
Ba (0.488, 0.669, 0.397)
Ba (0.535, 0.059, 0.391)
Ba (0.985, 0.941, 0.609)
Ba (0.855, 0.797, 0.033)
Ba (0.685, 0.203, 0.967)
Ba (0.348, 0.967, 0.797)
Ba (0.406, 0.609, 0.059)
Ba (0.112, 0.033, 0.203)
Ba (0.843, 0.603, 0.669)
Ba (0.074, 0.391, 0.941)
Sn (0.688, 0.350, 0.248)
Sn (0.963, 0.752, 0.350)
Sn (0.286, 0.650, 0.752)
Sn (0.064, 0.248, 0.650)

(b)
Entry from Alexandria: crystalline Ba3Sn at its relaxed geometry (GGA-PBE).

## Properties
Spin magnetization ... 0.1280 μB per atom

Cell lengths 4.237, 4.181, 12.391 Å; angles 90.00, 90.00, 90.00 degrees
Each line ends with the local moment (μB).
Fractional coordinates of all 4 atoms:
Ba (0.500, 0.000, 0.755)  0.05
Ba (0.000, 0.500, 0.460)  0.04
Ba (0.500, 0.500, 0.139)  0.02
Sn (0.000, 0.000, 0.978)  0.01

Most favorable first, least favorable last: (a), (b)

(a)
Entry from Alexandria: crystalline Ba2Sn17 at its relaxed geometry (GGA-PBE).

## Properties
Spin magnetization ... 0.0000 μB per atom

Cell lengths 8.466, 8.466, 8.466 Å; angles 80.37, 80.37, 80.37 degrees
Fractional coordinates of all 19 atoms:
Sn (0.150, 0.644, 0.644)
Sn (0.644, 0.644, 0.150)
Sn (0.850, 0.356, 0.356)
Sn (0.708, 0.000, 0.292)
Sn (0.356, 0.356, 0.850)
Sn (0.904, 0.904, 0.904)
Sn (0.356, 0.850, 0.356)
Sn (0.708, 0.292, 0.000)
Sn (0.000, 0.000, 0.500)
Sn (0.000, 0.708, 0.292)
Sn (0.000, 0.500, 0.000)
Sn (0.500, 0.000, 0.000)
Sn (0.292, 0.000, 0.708)
Sn (0.096, 0.096, 0.096)
Sn (0.644, 0.150, 0.644)
Sn (0.000, 0.292, 0.708)
Sn (0.292, 0.708, 0.000)
Ba (0.335, 0.335, 0.335)
Ba (0.665, 0.665, 0.665)

(b)
Entry from Alexandria: crystalline Ba2Sn17 at its relaxed geometry (GGA-PBE).

## Properties
Spin magnetization ... 0.0000 μB per atom

Cell lengths 8.758, 8.758, 8.758 Å; angles 70.78, 70.78, 70.78 degrees
Fractional coordinates of all 19 atoms:
Sn (0.707, 0.000, 0.293)
Sn (0.814, 0.419, 0.419)
Sn (0.581, 0.581, 0.186)
Sn (0.091, 0.091, 0.091)
Sn (0.000, 0.293, 0.707)
Sn (0.000, 0.500, 0.000)
Sn (0.000, 0.000, 0.500)
Sn (0.293, 0.707, 0.000)
Sn (0.707, 0.293, 0.000)
Sn (0.500, 0.000, 0.000)
Sn (0.419, 0.419, 0.814)
Sn (0.419, 0.814, 0.419)
Sn (0.293, 0.000, 0.707)
Sn (0.909, 0.909, 0.909)
Sn (0.186, 0.581, 0.581)
Sn (0.000, 0.707, 0.293)
Sn (0.581, 0.186, 0.581)
Ba (0.286, 0.286, 0.286)
Ba (0.714, 0.714, 0.714)

Most favorable first, least favorable last: (a), (b)

(a)
Entry from Alexandria: crystalline BaSn6 at its relaxed geometry (GGA-PBE).

## Properties
Spin magnetization ... 0.0000 μB per atom

Cell lengths 7.068, 7.068, 7.068 Å; angles 109.47, 109.47, 109.47 degrees
Fractional coordinates of all 7 atoms:
Sn (0.750, 0.500, 0.250)
Sn (0.250, 0.500, 0.750)
Sn (0.750, 0.250, 0.500)
Sn (0.500, 0.750, 0.250)
Sn (0.250, 0.750, 0.500)
Sn (0.500, 0.250, 0.750)
Ba (0.000, 0.000, 0.000)

(b)
Entry from Alexandria: crystalline BaSn6 at its relaxed geometry (GGA-PBE).

## Properties
Spin magnetization ... 0.0000 μB per atom

Cell lengths 7.196, 7.196, 7.196 Å; angles 90.00, 90.00, 90.00 degrees
Fractional coordinates of all 7 atoms:
Sn (0.197, 0.500, 0.500)
Sn (0.500, 0.500, 0.197)
Sn (0.500, 0.197, 0.500)
Sn (0.500, 0.500, 0.803)
Sn (0.803, 0.500, 0.500)
Sn (0.500, 0.803, 0.500)
Ba (0.000, 0.000, 0.000)

Most favorable first, least favorable last: (a), (b)

(a)
Entry from Alexandria: crystalline BaSn5 at its relaxed geometry (GGA-PBE).

## Properties
Spin magnetization ... 0.0000 μB per atom

Cell lengths 5.451, 5.451, 7.192 Å; angles 90.00, 90.00, 120.00 degrees
Fractional coordinates of all 6 atoms:
Sn (0.333, 0.667, 0.206)
Sn (0.667, 0.333, 0.794)
Sn (0.333, 0.667, 0.794)
Sn (0.000, 0.000, 0.000)
Sn (0.667, 0.333, 0.206)
Ba (0.000, 0.000, 0.500)

(b)
Entry from Alexandria: crystalline BaSn5 at its relaxed geometry (GGA-PBE).

## Properties
Spin magnetization ... 0.0000 μB per atom

Cell lengths 4.627, 7.006, 7.006 Å; angles 64.06, 70.72, 70.72 degrees
Fractional coordinates of all 6 atoms:
Sn (0.834, 0.865, 0.466)
Sn (0.834, 0.466, 0.865)
Sn (0.500, 0.500, 0.500)
Sn (0.166, 0.534, 0.135)
Sn (0.166, 0.135, 0.534)
Ba (0.500, 0.000, 0.000)

(c)
Entry from Alexandria: crystalline BaSn5 at its relaxed geometry (GGA-PBE).

## Properties
Spin magnetization ... 0.0000 μB per atom

Cell lengths 4.175, 5.624, 8.306 Å; angles 109.79, 90.00, 90.00 degrees
Fractional coordinates of all 6 atoms:
Sn (0.500, 0.191, 0.381)
Sn (0.000, 0.661, 0.322)
Sn (0.500, 0.809, 0.619)
Sn (0.000, 0.339, 0.678)
Sn (0.500, 0.500, 0.000)
Ba (0.000, 0.000, 0.000)

Most favorable first, least favorable last: (a), (b), (c)